Entry 1:
Below is Cs2CaPt after structural relaxation, with properties calculated at the PBE level.

Values from the calculation:
As for the crystal system: cubic. Its energy relative to the lowest polymorph listed for this composition is 0.4620 eV per atom. The value obtained for the calculated formation energy is 415 meV/atom.

abc: 6.195 6.195 6.195
angles: 60.00 60.00 60.00
Positions (direct):
Cs  0.250  0.250  0.250
Cs  0.750  0.750  0.750
Ca  0.000  0.000  0.000
Pt  0.500  0.500  0.500

Entry 2:
Below is IrBrCl after structural relaxation, with properties calculated at the PBE level.

Values from the calculation:
The value obtained for the formation energy without anion corrections is 278 meV per atom. As for the crystal system: triclinic. Its energy relative to the lowest polymorph listed for this composition is 0.1043 eV per atom.

abc: 3.681 7.486 7.795
angles: 86.42 78.47 77.35
Positions (direct):
Ir  0.059  0.016  0.344
Ir  0.941  0.984  0.656
Br  0.047  0.667  0.740
Br  0.953  0.333  0.260
Cl  0.330  0.136  0.758
Cl  0.670  0.864  0.242

Entry 3:
Below is AcZnSi2Au after structural relaxation, with properties calculated at the PBE level.

Values from the calculation:
The value obtained for the formation energy without anion corrections is -522 meV per atom. As for the crystal system: tetragonal.

abc: 5.996 5.996 5.996
angles: 136.29 136.29 63.53
Positions (direct):
Ac  0.000  0.000  0.000
Zn  0.750  0.250  0.500
Si  0.382  0.382  0.000
Si  0.618  0.618  0.000
Au  0.250  0.750  0.500

Entry 4:
Below is K3Pb5F12 after structural relaxation, with properties calculated at the PBE level.

Values from the calculation:
The value obtained for the formation energy without anion corrections is -2301 meV per atom. As for the crystal system: cubic.

abc: 13.247 13.247 13.247
angles: 109.47 109.47 109.47
Positions (direct):
K  0.125  0.250  0.375
K  0.125  0.375  0.750
K  0.250  0.375  0.125
K  0.250  0.875  0.625
K  0.375  0.125  0.250
K  0.375  0.750  0.125
K  0.625  0.250  0.875
K  0.625  0.875  0.750
K  0.750  0.125  0.375
K  0.750  0.625  0.875
K  0.875  0.625  0.250
K  0.875  0.750  0.625
Pb  0.000  0.000  0.000
Pb  0.000  0.000  0.500
Pb  0.000  0.500  0.000
Pb  0.000  0.500  0.500
Pb  0.125  0.750  0.875
Pb  0.125  0.875  0.250
Pb  0.250  0.125  0.875
Pb  0.250  0.625  0.375
Pb  0.375  0.250  0.625
Pb  0.375  0.625  0.750
Pb  0.500  0.000  0.000
Pb  0.500  0.000  0.500
Pb  0.500  0.500  0.000
Pb  0.500  0.500  0.500
Pb  0.625  0.375  0.250
Pb  0.625  0.750  0.375
Pb  0.750  0.375  0.625
Pb  0.750  0.875  0.125
Pb  0.875  0.125  0.750
Pb  0.875  0.250  0.125
F  0.037  0.209  0.129
F  0.037  0.328  0.908
F  0.080  0.709  0.672
F  0.080  0.871  0.408
F  0.092  0.629  0.420
F  0.092  0.963  0.672
F  0.129  0.037  0.209
F  0.129  0.592  0.920
F  0.172  0.209  0.580
F  0.172  0.463  0.592
F  0.209  0.129  0.037
F  0.209  0.580  0.172
F  0.291  0.328  0.920
F  0.291  0.463  0.371
F  0.328  0.908  0.037
F  0.328  0.920  0.291
F  0.371  0.291  0.463
F  0.371  0.580  0.908
F  0.408  0.080  0.871
F  0.408  0.828  0.537
F  0.420  0.092  0.629
F  0.420  0.828  0.791
F  0.463  0.371  0.291
F  0.463  0.592  0.172
F  0.537  0.408  0.828
F  0.537  0.629  0.709
F  0.580  0.172  0.209
F  0.580  0.908  0.371
F  0.592  0.172  0.463
F  0.592  0.920  0.129
F  0.629  0.420  0.092
F  0.629  0.709  0.537
F  0.672  0.080  0.709
F  0.672  0.092  0.963
F  0.709  0.537  0.629
F  0.709  0.672  0.080
F  0.791  0.420  0.828
F  0.791  0.871  0.963
F  0.828  0.537  0.408
F  0.828  0.791  0.420
F  0.871  0.408  0.080
F  0.871  0.963  0.791
F  0.908  0.037  0.328
F  0.908  0.371  0.580
F  0.920  0.129  0.592
F  0.920  0.291  0.328
F  0.963  0.672  0.092
F  0.963  0.791  0.871

Entry 5:
Below is RbCd3In3 after structural relaxation, with properties calculated at the PBE level.

Values from the calculation:
As for the crystal system: cubic. Its energy relative to the lowest polymorph listed for this composition is 0.1627 eV per atom. The value obtained for the calculated formation energy is 125 meV/atom.

abc: 8.156 8.156 8.156
angles: 90.00 90.00 90.00
Positions (direct):
Rb  0.000  0.000  0.000
Rb  0.500  0.500  0.500
Cd  0.000  0.250  0.500
Cd  0.000  0.750  0.500
Cd  0.250  0.500  0.000
Cd  0.500  0.000  0.250
Cd  0.500  0.000  0.750
Cd  0.750  0.500  0.000
In  0.000  0.500  0.250
In  0.000  0.500  0.750
In  0.250  0.000  0.500
In  0.500  0.250  0.000
In  0.500  0.750  0.000
In  0.750  0.000  0.500

Entry 6:
Below is La5Y6 after structural relaxation, with properties calculated at the PBE level.

Values from the calculation:
As for the crystal system: orthorhombic. The value obtained for the calculated formation energy is 119 meV/atom.

abc: 9.614 9.614 9.614
angles: 145.48 128.71 63.30
Positions (direct):
La  0.000  0.000  0.000
La  0.162  0.662  0.500
La  0.302  0.302  0.000
La  0.698  0.698  0.000
La  0.838  0.338  0.500
Y  0.160  0.864  0.296
Y  0.293  0.500  0.793
Y  0.432  0.136  0.296
Y  0.568  0.864  0.704
Y  0.707  0.500  0.207
Y  0.840  0.136  0.704

Entry 7:
Below is Er6Tm5Sc after structural relaxation, with properties calculated at the PBE level.

Values from the calculation:
As for the crystal system: orthorhombic. The value obtained for the calculated formation energy is 32 meV/atom.

abc: 9.219 9.219 9.219
angles: 149.10 115.67 73.07
Positions (direct):
Er  0.082  0.334  0.748
Er  0.247  0.000  0.247
Er  0.414  0.666  0.748
Er  0.586  0.334  0.252
Er  0.753  0.000  0.753
Er  0.918  0.666  0.252
Tm  0.165  0.165  0.000
Tm  0.334  0.834  0.500
Tm  0.500  0.500  0.000
Tm  0.666  0.166  0.500
Tm  0.835  0.835  0.000
Sc  0.000  0.500  0.500

Entry 8:
Below is PbW2Au after structural relaxation, with properties calculated at the PBE level.

Values from the calculation:
As for the crystal system: tetragonal. The value obtained for the calculated formation energy is 1012 meV/atom.

abc: 2.890 2.890 8.985
angles: 90.00 90.00 90.00
Positions (direct):
Pb  0.000  0.000  0.000
W  0.500  0.500  0.270
W  0.500  0.500  0.730
Au  0.000  0.000  0.500

Entry 9:
Below is PaAl2I8 after structural relaxation, with properties calculated at the PBE level.

Values from the calculation:
The value obtained for the formation energy without anion corrections is -578 meV per atom. As for the crystal system: monoclinic.

abc: 8.959 8.959 7.607
angles: 98.24 98.24 72.81
Positions (direct):
Pa  0.000  0.000  0.000
Al  0.196  0.196  0.652
Al  0.804  0.804  0.348
I  0.088  0.715  0.226
I  0.184  0.184  0.286
I  0.285  0.912  0.774
I  0.370  0.370  0.791
I  0.630  0.630  0.209
I  0.715  0.088  0.226
I  0.816  0.816  0.714
I  0.912  0.285  0.774

Entry 10:
Below is LaEuGdAl after structural relaxation, with properties calculated at the PBE level.

Values from the calculation:
As for the crystal system: cubic. The value obtained for the calculated formation energy is -62 meV/atom.

abc: 5.524 5.524 5.524
angles: 60.00 60.00 60.00
Positions (direct):
La  0.000  0.000  0.000
Eu  0.750  0.750  0.750
Gd  0.500  0.500  0.500
Al  0.250  0.250  0.250

Entry 11:
Below is AcTlP4 after structural relaxation, with properties calculated at the PBE level.

Values from the calculation:
As for the crystal system: cubic. The value obtained for the calculated formation energy is -138 meV/atom.

abc: 5.630 5.630 5.630
angles: 60.00 60.00 60.00
Positions (direct):
Ac  0.000  0.000  0.000
Tl  0.250  0.250  0.250
P  0.168  0.611  0.611
P  0.611  0.168  0.611
P  0.611  0.611  0.168
P  0.611  0.611  0.611

Entry 12:
Below is SbTeAu2 after structural relaxation, with properties calculated at the PBE level.

Values from the calculation:
The value obtained for the formation energy without anion corrections is 86 meV per atom. As for the crystal system: orthorhombic. Its energy relative to the lowest polymorph listed for this composition is 0.1245 eV per atom.

abc: 7.041 7.041 7.041
angles: 148.73 147.09 46.03
Positions (direct):
Sb  0.000  0.000  0.000
Te  0.799  0.299  0.500
Au  0.229  0.729  0.500
Au  0.568  0.568  0.000

| no. | Fermi-level density of states (states/eV/cell) | total magnetic moment (μB per cell) |
| --- | --- | --- |
| 1 | 0.2 | 0.0 |
| 2 | 3.9 | 0.0 |
| 3 | 1.3 | 0.0 |
| 4 | 28.7 | 2.5 |
| 5 | 11.6 | 0.0 |
| 6 | 16.6 | 0.0 |
| 7 | 17.0 | 0.0 |
| 8 | 2.6 | 0.0 |
| 9 | 8.7 | 2.5 |
| 10 | 4.6 | 0.3 |
| 11 | 2.2 | 0.0 |
| 12 | 1.5 | 0.0 |